# 1
The following is a PBE-GGA calculation of crystalline Ni2SbPb at its relaxed geometry, from Alexandria.

Computed properties:
- calculated total energy (eV per atom) = -4.694
- DOS(E_F) (states/eV/f.u.) = 2.9

a b c (Å): 7.2329 7.2329 7.2329
angles (deg): 28.52 28.52 28.52
Fractional positions:
Sb1 0.7500 0.7500 0.7500
Ni1 0.4915 0.4915 0.4915
Pb1 0.2500 0.2500 0.2500
Ni2 0.0085 0.0085 0.0085

---

# 2
The following is a PBE-GGA calculation of crystalline Ni2Sb2Pb at its relaxed geometry, from Alexandria.

Computed properties:
- energy relative to the lowest polymorph listed for this composition (meV per atom) = 90
- calculated total energy (eV per atom) = -4.618
- DOS(E_F) (states/eV/f.u.) = 3.1

a b c (Å): 7.7989 7.7989 3.3138
angles (deg): 90.00 90.00 90.00
Fractional positions:
Pb1 0.0000 0.0000 0.0000
Sb1 0.8483 0.3483 0.5000
Ni1 0.3806 0.8806 0.0000
Sb2 0.1517 0.6517 0.5000
Ni2 0.1194 0.3806 0.0000
Ni3 0.6194 0.1194 0.0000
Sb3 0.3483 0.1517 0.5000
Ni4 0.8806 0.6194 0.0000
Pb2 0.5000 0.5000 0.0000
Sb4 0.6517 0.8483 0.5000

---

# 3
The following is a PBE-GGA calculation of crystalline NiSbPb2 at its relaxed geometry, from Alexandria.

Computed properties:
- calculated total energy (eV per atom) = -4.006
- DOS(E_F) (states/eV/f.u.) = 2.7

a b c (Å): 6.2223 6.2223 8.0523
angles (deg): 67.27 67.27 90.00
Fractional positions:
Pb1 0.5585 0.1250 0.2500
Ni1 0.2500 0.7500 0.5000
Sb1 0.7500 0.2500 0.5000
Pb2 0.3750 0.4415 0.7500
Sb2 0.0000 0.0000 0.0000
Ni2 0.5000 0.5000 0.0000
Pb3 0.1915 0.6250 0.2500
Pb4 0.8750 0.8085 0.7500

---

# 4
The following is a PBE-GGA calculation of crystalline Ni4Sb12Pb at its relaxed geometry, from Alexandria.

Computed properties:
- calculated total energy (eV per atom) = -4.600
- DOS(E_F) (states/eV/f.u.) = 9.2

a b c (Å): 8.0800 8.0800 8.0800
angles (deg): 109.47 109.47 109.47
Fractional positions:
Sb1 0.8402 0.3360 0.1762
Pb1 0.0000 0.0000 0.0000
Sb2 0.3360 0.1762 0.8402
Ni1 0.0000 0.5000 0.0000
Sb3 0.1762 0.8402 0.3360
Sb4 0.8238 0.1598 0.6640
Ni2 0.5000 0.0000 0.0000
Sb5 0.6640 0.8238 0.1598
Sb6 0.4958 0.1598 0.3360
Sb7 0.3360 0.4958 0.1598
Sb8 0.1598 0.3360 0.4958
Sb9 0.6640 0.5042 0.8402
Ni3 0.5000 0.5000 0.5000
Sb10 0.1598 0.6640 0.8238
Ni4 0.0000 0.0000 0.5000
Sb11 0.5042 0.8402 0.6640
Sb12 0.8402 0.6640 0.5042

---

# 5
The following is a PBE-GGA calculation of crystalline Ni2SbPb at its relaxed geometry, from Alexandria.

Computed properties:
- calculated total energy (eV per atom) = -4.628
- DOS(E_F) (states/eV/f.u.) = 2.9

a b c (Å): 4.6715 4.6715 3.2991
angles (deg): 90.00 90.00 90.00
Fractional positions:
Sb1 0.0000 0.5000 0.5000
Pb1 0.5000 0.0000 0.5000
Ni1 0.0000 0.0000 0.0000
Ni2 0.5000 0.5000 0.0000

---

# 6
The following is a PBE-GGA calculation of crystalline Ni2SbPb at its relaxed geometry, from Alexandria.

Computed properties:
- calculated total energy (eV per atom) = -4.794
- DOS(E_F) (states/eV/f.u.) = 2.1

a b c (Å): 3.2446 3.2435 7.5522
angles (deg): 90.00 90.00 90.00
Fractional positions:
Sb1 0.5000 0.5000 0.8538
Ni1 0.5000 0.5000 0.1963
Ni2 0.0000 0.0000 0.0339
Pb1 0.0000 0.0000 0.4159

---

# 7
The following is a PBE-GGA calculation of crystalline NiSbPb at its relaxed geometry, from Alexandria.

Computed properties:
- calculated total energy (eV per atom) = -4.530
- DOS(E_F) (states/eV/f.u.) = 1.7

a b c (Å): 3.7760 3.7760 5.6901
angles (deg): 90.00 90.00 120.00
Fractional positions:
Ni1 0.0000 0.0000 0.9746
Sb1 0.3333 0.6667 0.7515
Pb1 0.6667 0.3333 0.2739

---

# 8
The following is a PBE-GGA calculation of crystalline NiSbPb2 at its relaxed geometry, from Alexandria.

Computed properties:
- calculated total energy (eV per atom) = -4.230
- DOS(E_F) (states/eV/f.u.) = 2.1

a b c (Å): 4.1987 5.8665 6.3878
angles (deg): 46.21 90.00 90.00
Fractional positions:
Pb1 0.0000 0.6290 0.5668
Ni1 0.5000 0.7500 0.7500
Pb2 0.0000 0.8710 0.9332
Sb1 0.5000 0.2500 0.2500